# 1
Entry from Alexandria: a relaxed structure of KSr2NiW (GGA-PBEsol).

Results
Total energy: -2.96 eV per atom
Space group: P4/mmm (123)

a = 4.327 Å, b = 5.753 Å, c = 5.753 Å
α = 90.00°, β = 90.00°, γ = 90.00°
Site moments in Bohr magnetons follow the coordinates.
Fractional positions:
K1 0.000 0.000 0.000  -0.03
Sr1 0.000 0.500 0.000  0.01
Sr2 0.000 0.000 0.500  0.01
Ni1 0.500 0.000 0.000  0.11
W1 0.500 0.500 0.500  2.40

=====

# 2
Entry from Alexandria: a relaxed structure of KTa3Ni (GGA-PBEsol).

Results
Total energy: -5.91 eV per atom
Space group: Pm-3m (221)

a = 4.478 Å, b = 4.478 Å, c = 4.478 Å
α = 90.00°, β = 90.00°, γ = 90.00°
Fractional positions:
Ta1 0.000 0.500 0.000
Ta2 0.000 0.000 0.500
Ta3 0.500 0.000 0.000
K1 0.000 0.000 0.000
Ni1 0.500 0.500 0.500

=====

# 3
Entry from Alexandria: a relaxed structure of KTc2Ni (GGA-PBEsol).

Results
Total energy: -6.21 eV per atom
Energy above the lowest structure with this stoichiometry: 0.4464 eV per atom
Space group: Imm2 (44)

a = 2.993 Å, b = 5.331 Å, c = 5.449 Å
α = 119.29°, β = 105.94°, γ = 90.00°
Fractional positions:
K1 0.502 0.502 0.003
Tc1 0.699 0.199 0.398
Tc2 0.007 0.007 0.014
Ni1 0.292 0.792 0.585

=====

# 4
Entry from Alexandria: a relaxed structure of KTcNi2 (GGA-PBEsol).

Results
Total energy: -5.42 eV per atom
Energy above the lowest structure with this stoichiometry: 0.1313 eV per atom
Space group: R3m (160)

a = 2.666 Å, b = 2.666 Å, c = 9.691 Å
α = 82.09°, β = 82.09°, γ = 60.00°
Fractional positions:
Ni1 0.014 0.014 0.958
Ni2 0.747 0.747 0.758
Tc1 0.483 0.483 0.551
K1 0.256 0.256 0.233

=====

# 5
Entry from Alexandria: a relaxed structure of KTcNi2 (GGA-PBEsol).

Results
Total energy: -5.55 eV per atom
Energy above the lowest structure with this stoichiometry: 0.0000 eV per atom
Space group: C2/m (12)

a = 2.570 Å, b = 4.214 Å, c = 6.889 Å
α = 93.19°, β = 90.00°, γ = 107.75°
Fractional positions:
K1 0.500 0.000 0.000
Ni1 0.742 0.483 0.649
Ni2 0.258 0.517 0.351
Tc1 0.000 0.000 0.500

=====

# 6
Entry from Alexandria: a relaxed structure of KTc2Ni (GGA-PBEsol).

Results
Total energy: -6.66 eV per atom
Energy above the lowest structure with this stoichiometry: 0.0000 eV per atom
Space group: Cm (8)

a = 2.569 Å, b = 4.393 Å, c = 7.112 Å
α = 91.48°, β = 90.00°, γ = 107.00°
Fractional positions:
Tc1 0.745 0.489 0.149
Tc2 0.988 0.976 0.997
K1 0.507 0.015 0.510
Ni1 0.260 0.520 0.844

=====

# 7
Entry from Alexandria: a relaxed structure of KTcNi2 (GGA-PBEsol).

Results
Total energy: -4.74 eV per atom
Energy above the lowest structure with this stoichiometry: 0.8048 eV per atom
Space group: F-43m (216)

a = 4.314 Å, b = 4.314 Å, c = 4.314 Å
α = 60.00°, β = 60.00°, γ = 60.00°
Site moments in Bohr magnetons follow the coordinates.
Fractional positions:
Ni1 0.000 0.000 0.000  0.08
Ni2 0.750 0.750 0.750  0.01
K1 0.500 0.500 0.500  0.00
Tc1 0.250 0.250 0.250  0.22

=====

# 8
Entry from Alexandria: a relaxed structure of KTc2Ni (GGA-PBEsol).

Results
Total energy: -5.97 eV per atom
Energy above the lowest structure with this stoichiometry: 0.6938 eV per atom
Space group: I4/mmm (139)

a = 3.628 Å, b = 3.628 Å, c = 5.515 Å
α = 109.21°, β = 109.21°, γ = 90.00°
Fractional positions:
K1 0.500 0.500 0.000
Tc1 0.250 0.750 0.500
Tc2 0.750 0.250 0.500
Ni1 0.000 0.000 0.000